# 1
# LaCdCl2 (PBE, optimized geometry)
# **Formation energy without anion corrections**: -1.2733 eV per atom
# **Fermi-level density of states**: 0.326 states/eV/atom
# **Distance to the lowest polymorph of the same formula**: 158 meV per atom
# **DFT total energy**: -14.63 eV for the cell shown
data_LaCdCl2
_chemical_formula_sum 'La1 Cd1 Cl2'
_space_group_name_H-M_alt 'P 1 2/m 1'
_space_group_IT_number 10
_space_group_name_Hall '-P 2y'
_cell_length_a 4.192
_cell_length_b 4.558
_cell_length_c 6.765
_cell_angle_alpha 90.00
_cell_angle_beta 101.93
_cell_angle_gamma 90.00
loop_
_atom_site_label
_atom_site_fract_x
_atom_site_fract_y
_atom_site_fract_z
La1 0.000 0.000 0.000
Cd1 0.500 0.000 0.500
Cl1 0.132 0.500 0.779

***

# 2
# Ac2BiHN (PBE, optimized geometry)
# **Fermi-level density of states**: 0.404 states/eV/atom
# **DFT total energy**: -56.94 eV for the cell shown
data_Ac2BiHN
_chemical_formula_sum 'Ac4 Bi2 H2 N2'
_space_group_name_H-M_alt 'I -4 m 2'
_space_group_IT_number 119
_space_group_name_Hall 'I -4 -2'
_cell_length_a 4.128
_cell_length_b 4.128
_cell_length_c 15.096
_cell_angle_alpha 90.00
_cell_angle_beta 90.00
_cell_angle_gamma 90.00
loop_
_atom_site_label
_atom_site_fract_x
_atom_site_fract_y
_atom_site_fract_z
Ac1 0.000 0.000 0.158
Bi1 0.000 0.000 0.500
H1 0.000 0.500 0.250
N1 0.000 0.500 0.750

***

# 3
# ThF5 (PBE, optimized geometry)
# **Formation energy without anion corrections**: -3.3088 eV per atom
# **Fermi-level density of states**: 0.550 states/eV/atom
# **DFT total energy**: -146.52 eV for the cell shown
data_ThF5
_chemical_formula_sum 'Th4 F20'
_space_group_name_H-M_alt 'I 4/m c m'
_space_group_IT_number 140
_space_group_name_Hall '-I 4 2c'
_cell_length_a 6.142
_cell_length_b 6.142
_cell_length_c 9.289
_cell_angle_alpha 90.00
_cell_angle_beta 90.00
_cell_angle_gamma 90.00
loop_
_atom_site_label
_atom_site_fract_x
_atom_site_fract_y
_atom_site_fract_z
Th1 0.000 0.000 0.250
F1 0.000 0.000 0.000
F2 0.178 0.322 0.150

***

# 4
# LiCaCeHg (PBE, optimized geometry)
# **Fermi-level density of states**: 2.058 states/eV/atom
# **DFT total energy**: -42.99 eV for the cell shown
data_LiCaCeHg
_chemical_formula_sum 'Li4 Ca4 Ce4 Hg4'
_space_group_name_H-M_alt 'F -4 3 m'
_space_group_IT_number 216
_space_group_name_Hall 'F -4 2 3'
_cell_length_a 7.600
_cell_length_b 7.600
_cell_length_c 7.600
_cell_angle_alpha 90.00
_cell_angle_beta 90.00
_cell_angle_gamma 90.00
loop_
_atom_site_label
_atom_site_fract_x
_atom_site_fract_y
_atom_site_fract_z
Li1 0.000 0.000 0.000
Ca1 0.250 0.250 0.250
Ce1 0.250 0.250 0.750
Hg1 0.000 0.000 0.500

***

# 5
# LiTb5Y4 (PBE, optimized geometry)
# **Fermi-level density of states**: 1.563 states/eV/atom
# **DFT total energy**: -98.35 eV for the cell shown
data_LiTb5Y4
_chemical_formula_sum 'Li2 Tb10 Y8'
_space_group_name_H-M_alt 'C 1 2/m 1'
_space_group_IT_number 12
_space_group_name_Hall '-C 2y'
_cell_length_a 17.115
_cell_length_b 3.536
_cell_length_c 10.694
_cell_angle_alpha 90.00
_cell_angle_beta 97.74
_cell_angle_gamma 90.00
loop_
_atom_site_label
_atom_site_fract_x
_atom_site_fract_y
_atom_site_fract_z
Li1 0.000 0.000 0.000
Tb1 0.000 0.000 0.500
Tb2 0.161 0.500 0.027
Tb3 0.168 0.500 0.431
Y1 0.002 0.500 0.772
Y2 0.172 0.000 0.733

***

# 6
# AlSe2F (PBE, optimized geometry)
# **Formation energy without anion corrections**: -0.7557 eV per atom
# **Fermi-level density of states**: 0.003 states/eV/atom
# **Distance to the lowest polymorph of the same formula**: 0 meV per atom
# **DFT total energy**: -46.82 eV for the cell shown
data_AlSe2F
_chemical_formula_sum 'Al3 Se6 F3'
_space_group_name_H-M_alt 'R -3 m'
_space_group_IT_number 166
_space_group_name_Hall '-R 3 2"'
_cell_length_a 3.8162
_cell_length_b 3.8162
_cell_length_c 20.8523
_cell_angle_alpha 90.00
_cell_angle_beta 90.00
_cell_angle_gamma 120.00
loop_
_atom_site_label
_atom_site_fract_x
_atom_site_fract_y
_atom_site_fract_z
Al1 0.0000 0.0000 0.0000
Se1 0.0000 0.0000 0.3966
F1 0.0000 0.0000 0.5000